An optimized crystal structure of Rb2PrVO4. Source: Alexandria via LeMat-Bulk, functional GGA+U.

a b c (Å): 5.937 5.937 5.937
angles (deg): 98.30 115.33 115.33
Positions (direct):
Rb 0.000 0.000 0.000
O 0.390 0.821 0.712
O 0.109 0.288 0.678
Pr 0.500 0.250 0.750
Rb 0.500 0.750 0.250
O 0.891 0.569 0.179
O 0.610 0.322 0.431
V 0.000 0.500 0.500

Properties
Total energy: -0.2294 Ha/atom
Total magnetization: 0.0 μB/f.u.